*a*
A plane-wave DFT calculation with PBE was carried out for a relaxed SrNbH crystal.

The value obtained for the size of the total moment is 0.000 μB per atom.

The space group is P-1 (No. 2) and the conventional cell measures 3.5310, 6.2609 and 6.5313 Å, with angles of 113.01, 105.63 and 90.02 degrees. The distinct sites, in fractional coordinates, are Sr at (0.0972, 0.3286, 0.1960), Nb at (0.3254, 0.1212, 0.6502) and H at (0.3042, 0.4012, 0.6058).


*b*
A plane-wave DFT calculation with PBE was carried out for a relaxed SrNbH crystal.

The value obtained for the size of the total moment is 0.000 μB per atom.

The space group is Pnma (No. 62) and the conventional cell measures 6.1612, 3.1005 and 12.4779 Å, with angles of 90.00, 90.00 and 90.00 degrees. The distinct sites, in fractional coordinates, are Sr at (0.1318, 0.2500, 0.1592), Nb at (0.1390, 0.2500, 0.4406) and H at (0.2275, 0.2500, 0.8417).


*c*
A plane-wave DFT calculation with PBE was carried out for a relaxed SrNbH crystal.

The value obtained for the size of the total moment is 0.000 μB per atom.

The space group is Pmmn (No. 59, origin choice 2) and the conventional cell measures 3.6174, 3.9873 and 9.5245 Å, with angles of 90.00, 90.00 and 90.00 degrees. The distinct sites, in fractional coordinates, are Sr at (0.2500, 0.2500, 0.1878), Nb at (0.2500, 0.2500, 0.5440) and H at (0.2500, 0.7500, 0.5672).


Best to worst by energy: *c*, *a*, *b*.


*a*
A plane-wave DFT calculation with PBE was carried out for a relaxed SrNbH crystal.

The value obtained for the size of the total moment is 0.000 μB per atom.

The space group is P-6m2 (No. 187) and the conventional cell measures 5.2583, 5.2583 and 2.7677 Å, with angles of 90.00, 90.00 and 120.00 degrees. The distinct sites, in fractional coordinates, are Sr at (0.0000, 0.0000, 0.0000), Nb at (0.3333, 0.6667, 0.0000) and H at (0.6667, 0.3333, 0.5000).


*b*
A plane-wave DFT calculation with PBE was carried out for a relaxed SrNbH crystal.

The value obtained for the size of the total moment is 1.616 μB per atom.

The space group is P6_3/mmc (No. 194) and the conventional cell measures 5.3215, 5.3215 and 6.9085 Å, with angles of 90.00, 90.00 and 120.00 degrees. The distinct sites, in fractional coordinates, are Sr at (0.3333, 0.6667, 0.2500), Nb at (0.3333, 0.6667, 0.7500) and H at (0.0000, 0.0000, 0.2500).


*c*
A plane-wave DFT calculation with PBE was carried out for a relaxed SrNbH crystal.

The value obtained for the size of the total moment is 0.000 μB per atom.

The space group is Imma (No. 74) and the conventional cell measures 3.7176, 5.9120 and 10.5941 Å, with angles of 90.00, 90.00 and 90.00 degrees. The distinct sites, in fractional coordinates, are Sr at (0.0000, 0.2500, 0.1014), Nb at (0.0000, 0.2500, 0.6667) and H at (0.0000, 0.0000, 0.5000).


Best to worst by energy: *c*, *a*, *b*.


*a*
A plane-wave DFT calculation with PBE was carried out for a relaxed SrNbH crystal.

The value obtained for the size of the total moment is 0.000 μB per atom.

The space group is Amm2 (No. 38) and the conventional cell measures 11.3709, 3.5600 and 5.5759 Å, with angles of 90.00, 90.00 and 90.00 degrees. The distinct sites, in fractional coordinates, are Sr at (0.1604, 0.0000, 0.0000), Nb at (0.3932, 0.0000, 0.5061), H at (0.0000, 0.0000, 0.6447) and H at (0.5000, 0.0000, 0.8377).


*b*
A plane-wave DFT calculation with PBE was carried out for a relaxed SrNbH crystal.

The value obtained for the size of the total moment is 0.000 μB per atom.

The space group is P1 (No. 1) and the conventional cell measures 3.7966, 5.9501 and 6.2889 Å, with angles of 115.56, 106.05 and 90.14 degrees. The distinct sites, in fractional coordinates, are Sr at (0.0000, 0.0000, 0.0000), Sr at (0.2097, 0.7004, 0.4041), Nb at (0.4417, 0.4308, 0.8618), Nb at (0.7705, 0.2715, 0.5359), H at (0.1144, 0.1147, 0.6978) and H at (0.6017, 0.3520, 0.2070).


Best to worst by energy: *b*, *a*.


*a*
A plane-wave DFT calculation with PBE was carried out for a relaxed SrNbH crystal.

The value obtained for the size of the total moment is 0.000 μB per atom.

The space group is P1 (No. 1) and the conventional cell measures 3.3114, 6.1561 and 6.3789 Å, with angles of 107.95, 96.81 and 91.78 degrees. The distinct sites, in fractional coordinates, are Sr at (0.0000, 0.0000, 0.0000), Sr at (0.0657, 0.6076, 0.3525), Nb at (0.4066, 0.4417, 0.8254), Nb at (0.6954, 0.1652, 0.5553), H at (0.4928, 0.3361, 0.0862) and H at (0.5232, 0.7379, 0.1035).


*b*
A plane-wave DFT calculation with PBE was carried out for a relaxed SrNbH crystal.

The value obtained for the size of the total moment is 0.699 μB per atom.

The space group is P6_3/mmc (No. 194) and the conventional cell measures 3.4902, 3.4902 and 13.4078 Å, with angles of 90.00, 90.00 and 120.00 degrees. The distinct sites, in fractional coordinates, are Sr at (0.0000, 0.0000, 0.2500), Nb at (0.0000, 0.0000, 0.0000) and H at (0.3333, 0.6667, 0.2500).


Best to worst by energy: *a*, *b*.


*a*
A plane-wave DFT calculation with PBE was carried out for a relaxed Sr2NbH crystal.

The value obtained for the size of the total moment is 1.084 μB per atom.

The space group is I-42d (No. 122) and the conventional cell measures 7.6492, 7.6492 and 8.0181 Å, with angles of 90.00, 90.00 and 90.00 degrees. The distinct sites, in fractional coordinates, are Sr at (0.1443, 0.2500, 0.1250), Nb at (0.0000, 0.0000, 0.5000) and H at (0.0000, 0.0000, 0.0000).


*b*
A plane-wave DFT calculation with PBE was carried out for a relaxed Sr2NbH crystal.

The value obtained for the size of the total moment is 1.084 μB per atom.

The space group is Fm-3m (No. 225) and the conventional cell measures 7.9177, 7.9177 and 7.9177 Å, with angles of 90.00, 90.00 and 90.00 degrees. The distinct sites, in fractional coordinates, are Sr at (0.2500, 0.2500, 0.2500), Nb at (0.0000, 0.0000, 0.0000) and H at (0.0000, 0.0000, 0.5000).


Best to worst by energy: *a*, *b*.


*a*
A plane-wave DFT calculation with PBE was carried out for a relaxed Ta2NbH2 crystal.

The value obtained for the size of the total moment is 0.000 μB per atom.

The space group is P-1 (No. 2) and the conventional cell measures 4.8646, 5.6206 and 5.6426 Å, with angles of 95.71, 115.08 and 114.65 degrees. The distinct sites, in fractional coordinates, are Ta at (0.0911, 0.2555, 0.4069), Ta at (0.2558, 0.7587, 0.2459), Nb at (0.4052, 0.2463, 0.0852), H at (0.0956, 0.4927, 0.6945) and H at (0.2851, 0.1204, 0.7031).


*b*
A plane-wave DFT calculation with PBE was carried out for a relaxed Ta2NbH2 crystal.

The value obtained for the size of the total moment is 0.000 μB per atom.

The space group is C2/c (No. 15) and the conventional cell measures 7.8879, 7.8433 and 5.5886 Å, with angles of 90.00, 134.84 and 90.00 degrees. The distinct sites, in fractional coordinates, are Ta at (0.0000, 0.0000, 0.0000), Ta at (0.2500, 0.2500, 0.0000), Nb at (0.0000, 0.3901, 0.2500) and H at (0.1999, 0.1967, 0.6092).


Best to worst by energy: *a*, *b*.


*a*
A plane-wave DFT calculation with PBE was carried out for a relaxed TaNb2H2 crystal.

The value obtained for the size of the total moment is 0.000 μB per atom.

The space group is P-1 (No. 2) and the conventional cell measures 4.8676, 5.6419 and 5.6452 Å, with angles of 96.58, 114.27 and 114.81 degrees. The distinct sites, in fractional coordinates, are Ta at (0.1042, 0.4165, 0.2617), Nb at (0.2451, 0.2524, 0.7459), Nb at (0.4092, 0.0866, 0.2425), H at (0.2152, 0.7981, 0.3849) and H at (0.3924, 0.7923, 0.9933).


*b*
A plane-wave DFT calculation with PBE was carried out for a relaxed TaNb2H2 crystal.

The value obtained for the size of the total moment is 0.000 μB per atom.

The space group is P4/mmm (No. 123) and the conventional cell measures 2.8717, 2.8717 and 7.6043 Å, with angles of 90.00, 90.00 and 90.00 degrees. The distinct sites, in fractional coordinates, are Ta at (0.0000, 0.0000, 0.0000), Nb at (0.5000, 0.5000, 0.3019) and H at (0.0000, 0.5000, 0.5000).


*c*
A plane-wave DFT calculation with PBE was carried out for a relaxed TaNb2H2 crystal.

The value obtained for the size of the total moment is 0.000 μB per atom.

The space group is I4/mmm (No. 139) and the conventional cell measures 3.3996, 3.3996 and 10.4142 Å, with angles of 90.00, 90.00 and 90.00 degrees. The distinct sites, in fractional coordinates, are Ta at (0.0000, 0.0000, 0.0000), Nb at (0.0000, 0.0000, 0.3445) and H at (0.0000, 0.5000, 0.2500).


Best to worst by energy: *c*, *a*, *b*.


*a*
A plane-wave DFT calculation with PBE was carried out for a relaxed TaNb2H4 crystal.

The value obtained for the size of the total moment is 0.000 μB per atom.

The space group is I4/mmm (No. 139) and the conventional cell measures 3.4848, 3.4848 and 10.9758 Å, with angles of 90.00, 90.00 and 90.00 degrees. The distinct sites, in fractional coordinates, are Ta at (0.0000, 0.0000, 0.0000), Nb at (0.0000, 0.0000, 0.3394), H at (0.0000, 0.0000, 0.1692) and H at (0.0000, 0.5000, 0.0000).


*b*
A plane-wave DFT calculation with PBE was carried out for a relaxed TaNb2H4 crystal.

The value obtained for the size of the total moment is 0.000 μB per atom.

The space group is C2/c (No. 15) and the conventional cell measures 8.1461, 8.1286 and 5.7582 Å, with angles of 90.00, 134.80 and 90.00 degrees. The distinct sites, in fractional coordinates, are Ta at (0.0000, 0.1239, 0.2500), Nb at (0.0000, 0.5000, 0.0000), Nb at (0.2500, 0.2500, 0.0000), H at (0.0007, 0.2581, 0.5181) and H at (0.2324, 0.4919, 0.9820).


Best to worst by energy: *b*, *a*.